No. 1
Density functional theory data (GGA-PBE) for crystalline LaEuHoGa at its relaxed geometry.

Cell: 5.4701 5.4701 5.4701 Å, 60.00 60.00 60.00°
Last column: nearest neighbours and their distance in Å.
Positions (direct):
La  0.0000  0.0000  0.0000  4 Eu 3.35, 4 Ga 3.35
Eu  0.2500  0.2500  0.2500  4 Ho 3.35, 4 La 3.35
Ho  0.5000  0.5000  0.5000  4 Ga 3.35, 4 Eu 3.35
Ga  0.7500  0.7500  0.7500  4 La 3.35, 4 Ho 3.35

## Properties
Space group = F-43m (216)
Final energy = -5.792 eV per atom
E_form = -0.091 eV per atom
DOS(E_F) = 1.531 states/eV per atom

---

No. 2
Density functional theory data (GGA-PBE) for crystalline KW2Br at its relaxed geometry.

Cell: 3.2685 8.7445 8.7445 Å, 22.36 90.00 90.00°
Last column: nearest neighbours and their distance in Å.
Positions (direct):
K  0.0000  0.0000  0.0000  4 Br 3.26, 4 K 3.27-3.39
W  0.0000  0.7662  0.7662  4 W 2.61, 2 Br 2.84
W  0.5000  0.3316  0.3316  4 W 2.61
Br  0.5000  0.6311  0.6311  2 W 2.84

## Properties
Space group = Amm2 (38)
Final energy = -6.771 eV per atom
Formation energy from raw total energies = 0.399 eV/atom
Polymorph energy (0 for the lowest one) = 0.0 meV per atom
DOS(E_F) = 0.253 states/eV per atom

---

No. 3
Density functional theory data (GGA-PBE) for crystalline TcF at its relaxed geometry.

Cell: 4.8863 4.9845 10.7614 Å, 90.00 90.00 90.00°
Last column: nearest neighbours and their distance in Å.
Positions (direct):
Tc  0.0575  0.1741  0.2246  2 F 2.05-2.16, 1 Tc 2.15
Tc  0.0853  0.1918  0.0254  2 F 2.06-2.20, 1 Tc 2.15
Tc  0.4147  0.8082  0.5254  2 F 2.06-2.20, 1 Tc 2.15
Tc  0.4425  0.8259  0.7246  2 F 2.05-2.16, 1 Tc 2.15
Tc  0.5575  0.3259  0.7754  2 F 2.05-2.16, 1 Tc 2.15
Tc  0.5853  0.3082  0.9746  2 F 2.06-2.20, 1 Tc 2.15
Tc  0.9147  0.6918  0.4746  2 F 2.06-2.20, 1 Tc 2.15
Tc  0.9425  0.6741  0.2754  2 F 2.05-2.16, 1 Tc 2.15
F  0.1184  0.0852  0.4784  2 Tc 2.06-2.20
F  0.1680  0.5305  0.7714  2 Tc 2.05-2.16
F  0.3320  0.4695  0.2714  2 Tc 2.05-2.16
F  0.3816  0.9148  0.9784  2 Tc 2.06-2.20
F  0.6184  0.4148  0.5216  2 Tc 2.06-2.20
F  0.6680  0.9695  0.2286  2 Tc 2.05-2.16
F  0.8320  0.0305  0.7286  2 Tc 2.05-2.16
F  0.8816  0.5852  0.0216  2 Tc 2.06-2.20

## Properties
Space group = P2_12_12_1 (19)
Final energy = -6.684 eV per atom
Formation energy from raw total energies = -0.565 eV/atom
Polymorph energy (0 for the lowest one) = 471.6 meV per atom
DOS(E_F) = 0.171 states/eV per atom

---

No. 4
Density functional theory data (GGA-PBE) for crystalline RbCuPbSe2 at its relaxed geometry.

Cell: 8.1560 5.1884 8.3566 Å, 90.00 109.40 90.00°
Last column: nearest neighbours and their distance in Å.
Positions (direct):
Rb  0.0000  0.2358  0.2500  6 Se 3.55-3.60
Rb  0.0000  0.7642  0.7500  6 Se 3.55-3.60
Cu  0.5000  0.0000  0.0000  2 Se 2.28
Cu  0.5000  0.0000  0.5000  2 Se 2.28
Pb  0.5000  0.4049  0.7500  2 Se 2.91, 2 Cu 2.96
Pb  0.5000  0.5951  0.2500  2 Se 2.91, 2 Cu 2.96
Se  0.2708  0.2568  0.9943  1 Cu 2.28
Se  0.2708  0.7432  0.4943  1 Cu 2.28
Se  0.7292  0.2568  0.5057  1 Cu 2.28
Se  0.7292  0.7432  0.0057  1 Cu 2.28

## Properties
Space group = P2/c (13)
Final energy = -3.760 eV per atom
Formation energy from raw total energies = -0.612 eV/atom